1.
{"formula": "NiBRuC2", "functional": "GGA-PBE", "state": "relaxed", "cell": [[3.402, 0.000, 0.000], [0.000, 4.312, 0.000], [0.000, 0.000, 3.402]], "species": ["Ru", "C", "C", "B", "Ni"], "fractional_positions": [[0.000, 0.500, 0.000], [0.000, 0.000, 0.500], [0.500, 0.000, 0.000], [0.000, 0.000, 0.000], [0.500, 0.500, 0.500]], "crystal_system": "tetragonal", "volume_a3_per_cell": 49.91, "sg": "P4/mmm (123)", "n_ef_per_ev_fu": 5.1, "dft_energy_ev_per_atom": -6.16, "ef_ev_per_atom": 1.87}

=====

2.
{"formula": "Rb4Pr3HoO8", "functional": "GGA-PBE", "state": "relaxed", "cell": [[-5.150, -0.105, 5.180], [2.481, -7.065, 2.323], [4.881, 5.432, -0.188]], "species": ["Rb", "Rb", "Rb", "Rb", "Pr", "Pr", "Pr", "Ho", "O", "O", "O", "O", "O", "O", "O", "O"], "fractional_positions": [[0.500, 0.000, 0.000], [0.500, 0.000, 0.500], [0.000, 0.000, 0.000], [0.000, 0.000, 0.500], [0.500, 0.500, 0.000], [0.500, 0.500, 0.500], [0.000, 0.500, 0.500], [0.000, 0.500, 0.000], [0.221, 0.679, 0.959], [0.221, 0.679, 0.441], [0.272, 0.317, 0.545], [0.738, 0.679, 0.959], [0.262, 0.321, 0.041], [0.728, 0.683, 0.455], [0.779, 0.321, 0.559], [0.779, 0.321, 0.041]], "crystal_system": "trigonal", "volume_a3_per_cell": 305.37, "sg": "R-3m (166)", "n_ef_per_ev_fu": 0.0, "dft_energy_ev_per_atom": -6.46}

=====

3.
{"formula": "MnSbS3", "functional": "GGA-PBE", "state": "relaxed", "cell": [[4.479, 0.000, 0.000], [0.000, 4.479, 0.000], [0.000, 0.000, 4.479]], "species": ["Sb", "S", "S", "S", "Mn"], "fractional_positions": [[0.500, 0.500, 0.500], [0.000, 0.500, 0.000], [0.000, 0.000, 0.500], [0.500, 0.000, 0.000], [0.000, 0.000, 0.000]], "crystal_system": "cubic", "volume_a3_per_cell": 89.86, "sg": "Pm-3m (221)", "n_ef_per_ev_fu": 6.9, "dft_energy_ev_per_atom": -4.92}

=====

4.
{"formula": "Ac3IO7", "functional": "GGA-PBE", "state": "relaxed", "cell": [[-6.510, -1.547, -2.212], [4.789, -4.138, -3.099], [-0.772, -5.450, 6.084]], "species": ["Ac", "Ac", "Ac", "Ac", "Ac", "Ac", "I", "I", "O", "O", "O", "O", "O", "O", "O", "O", "O", "O", "O", "O", "O", "O"], "fractional_positions": [[0.063, 0.521, 0.750], [0.000, 0.000, 0.000], [0.000, 0.000, 0.500], [0.479, 0.937, 0.250], [0.521, 0.063, 0.750], [0.937, 0.479, 0.250], [0.500, 0.500, 0.000], [0.500, 0.500, 0.500], [0.108, 0.847, 0.250], [0.153, 0.892, 0.750], [0.185, 0.437, 0.467], [0.185, 0.437, 0.033], [0.563, 0.815, 0.967], [0.563, 0.815, 0.533], [0.422, 0.422, 0.750], [0.578, 0.578, 0.250], [0.437, 0.185, 0.033], [0.437, 0.185, 0.467], [0.815, 0.563, 0.967], [0.815, 0.563, 0.533], [0.847, 0.108, 0.250], [0.892, 0.153, 0.750]], "crystal_system": "orthorhombic", "volume_a3_per_cell": 380.04, "sg": "Cmcm (63)", "dft_energy_ev_per_atom": -6.86}

=====

5.
{"formula": "Mg3TiF", "functional": "GGA-PBE", "state": "relaxed", "cell": [[-2.062, -4.423, 2.766], [2.757, -3.449, -3.459], [4.428, 0.088, 3.442]], "species": ["Mg", "Mg", "Mg", "F", "Ti"], "fractional_positions": [[0.000, 0.500, 0.000], [0.000, 0.000, 0.500], [0.500, 0.000, 0.000], [0.500, 0.500, 0.500], [0.000, 0.000, 0.000]], "crystal_system": "cubic", "volume_a3_per_cell": 176.49, "de_polymorph_mev_per_atom": 1251, "sg": "Pm-3m (221)", "n_ef_per_ev_fu": 10.1, "dft_energy_ev_per_atom": -2.27}

=====

6.
{"formula": "HgOs2Cl", "functional": "GGA-PBE", "state": "relaxed", "cell": [[-4.036, -2.122, 3.385], [1.564, -2.086, -5.045], [1.883, -1.597, 1.244]], "species": ["Cl", "Hg", "Os", "Os"], "fractional_positions": [[0.500, 0.000, 0.500], [0.000, 0.500, 0.500], [0.000, 0.000, 0.000], [0.500, 0.500, 0.000]], "crystal_system": "orthorhombic", "volume_a3_per_cell": 72.13, "de_polymorph_mev_per_atom": 1235, "sg": "Cmmm (65)", "n_ef_per_ev_fu": 5.3, "dft_energy_ev_per_atom": -4.56}

=====

7.
{"formula": "BaTcSnS2", "functional": "GGA-PBE", "state": "relaxed", "cell": [[5.296, 0.000, 0.000], [0.000, 5.181, 0.000], [0.000, 0.000, 5.296]], "species": ["Tc", "S", "S", "Ba", "Sn"], "fractional_positions": [[0.000, 0.500, 0.000], [0.000, 0.000, 0.500], [0.500, 0.000, 0.000], [0.500, 0.500, 0.500], [0.000, 0.000, 0.000]], "crystal_system": "tetragonal", "volume_a3_per_cell": 145.32, "sg": "P4/mmm (123)", "n_ef_per_ev_fu": 5.1, "dft_energy_ev_per_atom": -4.74}

=====

8.
{"formula": "Pr2Dy3YTm6", "functional": "GGA-PBE", "state": "relaxed", "cell": [[6.146, 0.001, 0.006], [-3.070, 5.324, 0.006], [-1.034, -1.790, 11.526]], "species": ["Pr", "Pr", "Dy", "Dy", "Dy", "Y", "Tm", "Tm", "Tm", "Tm", "Tm", "Tm"], "fractional_positions": [[0.333, 0.667, 0.000], [0.667, 0.333, 0.000], [0.167, 0.833, 0.500], [0.833, 0.167, 0.500], [0.500, 0.500, 0.500], [0.000, 0.000, 0.000], [0.915, 0.582, 0.747], [0.752, 0.752, 0.254], [0.085, 0.418, 0.253], [0.582, 0.915, 0.747], [0.248, 0.248, 0.746], [0.418, 0.085, 0.253]], "crystal_system": "monoclinic", "volume_a3_per_cell": 377.35, "sg": "C2/m (12)", "n_ef_per_ev_fu": 15.5, "dft_energy_ev_per_atom": -4.70, "ef_ev_per_atom": 0.02}